# 1
Density functional theory data (meta-GGA SCAN) for a crystal of NiRuPt2 relaxed with PBEsol.

a = 3.781 Å, b = 3.781 Å, c = 7.541 Å
α = 90.00°, β = 90.00°, γ = 90.00°
Space group I-4m2 (No. 119)
Symmetry-distinct sites (fractional):
Ni1 0.000 0.000 0.000 (multiplicity 2)
Ru1 0.000 0.500 0.250 (multiplicity 2)
Pt1 0.000 0.000 0.500 (multiplicity 2)
Pt2 0.000 0.500 0.750 (multiplicity 2)

Summary:
Energy relative to the elements (eV per atom): -0.01
Excess energy over the best structure of this formula in the dataset (kcal/mol of atoms): 1.45

=====

# 2
Density functional theory data (meta-GGA SCAN) for a crystal of AlCdTe2 relaxed with PBEsol.

a = 3.596 Å, b = 3.596 Å, c = 7.423 Å
α = 90.00°, β = 90.00°, γ = 90.00°
Space group P4/mmm (No. 123)
Symmetry-distinct sites (fractional):
Al1 0.000 0.000 0.000 (multiplicity 1)
Cd1 0.000 0.000 0.500 (multiplicity 1)
Te1 0.500 0.500 0.231 (multiplicity 2)

Summary:
Formation energy (no corrections) (meV/atom): 126
Excess energy over the best structure of this formula in the dataset (kcal/mol of atoms): 5.63